Material: Sm3Mg4Ni4
Method: DFT, PBE-GGA
State: relaxed

a = 8.322 Å, b = 8.322 Å, c = 8.322 Å
α = 152.30°, β = 123.32°, γ = 64.24°
Positions (direct):
Sm  0.000  0.000  0.000
Sm  0.381  0.881  0.500
Sm  0.619  0.119  0.500
Mg  0.019  0.328  0.691
Mg  0.362  0.672  0.691
Mg  0.638  0.328  0.309
Mg  0.981  0.672  0.309
Ni  0.229  0.229  0.000
Ni  0.331  0.500  0.831
Ni  0.669  0.500  0.169
Ni  0.771  0.771  0.000

## Properties
As for the space-group type: Immm (71). For the mass density, the calculation gives 5.860 g/cm3. The calculation puts the calculated formation energy at -2.49 eV/f.u. For the density of states at the Fermi level, the calculation gives 8.251 states/eV/cell. For the size of the total moment, the calculation gives 0.00 μB/f.u. Its uncorrected energy is -4.1954 eV per atom.